! CsNbO3 PBE-GGA optimized geometry; values from VASP
! Total energy   -303.2 eV/cell
&SYSTEM
  ibrav = 0, nat = 40, ntyp = 3
/
ATOMIC_SPECIES
O 16.00 O.upf
Nb 92.91 Nb.upf
Cs 132.91 Cs.upf
CELL_PARAMETERS angstrom
5.1491 0.0000 0.0151
0.0000 15.8838 0.0000
-0.4994 0.0000 9.1165
ATOMIC_POSITIONS crystal
O 0.6645 0.3891 0.6769
O 0.3916 0.4535 0.1426
O 0.2510 0.0357 0.9588
O 0.9382 0.7150 0.4543
O 0.3355 0.6109 0.3231
O 0.6084 0.9535 0.3574
O 0.3355 0.8891 0.8231
O 0.7490 0.5357 0.5412
O 0.0618 0.2150 0.0457
O 0.7538 0.3974 0.3643
O 0.8275 0.5654 0.2596
O 0.1725 0.0654 0.2404
O 0.3916 0.0465 0.6426
O 0.0618 0.2850 0.5457
O 0.1725 0.4346 0.7404
O 0.2462 0.6026 0.6357
O 0.8275 0.9346 0.7596
O 0.6084 0.5465 0.8574
O 0.2510 0.4643 0.4588
O 0.9382 0.7850 0.9543
O 0.7538 0.1026 0.8643
O 0.7490 0.9643 0.0412
O 0.2462 0.8974 0.1357
O 0.6645 0.1109 0.1769
Nb 0.5309 0.0025 0.8116
Nb 0.0407 0.8941 0.9457
Nb 0.4691 0.9975 0.1884
Nb 0.0407 0.6059 0.4457
Nb 0.9593 0.1059 0.0543
Nb 0.9593 0.3941 0.5543
Nb 0.4691 0.5025 0.6884
Nb 0.5309 0.4975 0.3116
Cs 0.1134 0.6077 0.9856
Cs 0.8866 0.3923 0.0144
Cs 0.1134 0.8923 0.4856
Cs 0.8866 0.1077 0.5144
Cs 0.5963 0.7575 0.2035
Cs 0.4037 0.2575 0.2965
Cs 0.4037 0.2425 0.7965
Cs 0.5963 0.7425 0.7035



! Mg4Ta3 PBE-GGA optimized geometry; values from VASP
! Total energy   -80.3 eV/cell
! Energy above the lowest structure with this stoichiometry   0.0 meV/atom
&SYSTEM
  ibrav = 0, nat = 14, ntyp = 2
/
ATOMIC_SPECIES
Ta 180.95 Ta.upf
Mg 24.30 Mg.upf
CELL_PARAMETERS angstrom
-4.8362 -3.9011 5.2833
1.1531 -7.9363 1.4899
3.0767 1.1328 3.6527
ATOMIC_POSITIONS crystal
Ta 0.5180 0.4056 0.5000
Ta 0.6478 0.6607 0.5000
Ta 0.4345 0.8324 0.0000
Ta 0.2628 0.7907 0.5000
Ta 0.3046 0.5773 0.0000
Ta 0.6896 0.4474 0.0000
Mg 0.1428 0.2857 0.0000
Mg 0.5639 0.1513 0.0000
Mg 0.8095 0.9524 0.5000
Mg 0.9439 0.2390 0.5000
Mg 0.0961 0.5313 0.5000
Mg 0.3884 0.0868 0.5000
Mg 0.0084 0.9991 0.0000
Mg 0.8562 0.7068 0.0000



! LiSmGe PBE-GGA optimized geometry; values from VASP
! Total energy   -53.2 eV/cell
&SYSTEM
  ibrav = 0, nat = 12, ntyp = 3
/
ATOMIC_SPECIES
Sm 150.36 Sm.upf
Li 6.94 Li.upf
Ge 72.64 Ge.upf
CELL_PARAMETERS angstrom
7.3235 0.0000 0.0000
0.0000 4.4413 0.0000
0.0000 0.0000 7.7620
ATOMIC_POSITIONS crystal
Sm 0.0050 0.2500 0.7807
Sm 0.4950 0.7500 0.2807
Sm 0.5050 0.2500 0.7193
Sm 0.9950 0.7500 0.2193
Li 0.3175 0.7500 0.9193
Li 0.6825 0.2500 0.0807
Li 0.1825 0.2500 0.4193
Li 0.8175 0.7500 0.5807
Ge 0.7295 0.7500 0.9112
Ge 0.7705 0.2500 0.4112
Ge 0.2705 0.2500 0.0888
Ge 0.2295 0.7500 0.5888



! Gd4Si2TeO9 PBE-GGA optimized geometry; values from VASP
! Total energy   -508.6 eV/cell
&SYSTEM
  ibrav = 0, nat = 64, ntyp = 4
/
ATOMIC_SPECIES
Gd 157.25 Gd.upf
O 16.00 O.upf
Te 127.60 Te.upf
Si 28.09 Si.upf
CELL_PARAMETERS angstrom
-7.6605 -9.7029 1.0959
4.5463 -2.5199 9.4688
-4.4819 3.8987 3.1895
ATOMIC_POSITIONS crystal
Gd 0.3058 0.9489 0.2697
Gd 0.1942 0.0511 0.7697
Gd 0.0675 0.2500 0.4573
Gd 0.4027 0.2500 0.5189
Gd 0.5675 0.2500 0.0427
Gd 0.1942 0.4489 0.7697
Gd 0.4325 0.7500 0.9573
Gd 0.6942 0.0511 0.7303
Gd 0.8058 0.9489 0.2303
Gd 0.8058 0.5511 0.2303
Gd 0.0973 0.7500 0.0189
Gd 0.9325 0.7500 0.5427
Gd 0.9027 0.2500 0.9811
Gd 0.6942 0.4489 0.7303
Gd 0.3058 0.5511 0.2697
Gd 0.5973 0.7500 0.4811
O 0.6386 0.0306 0.0603
O 0.1386 0.4694 0.4397
O 0.5128 0.6192 0.7138
O 0.2783 0.7500 0.1412
O 0.6499 0.5394 0.4256
O 0.9872 0.3808 0.2138
O 0.1386 0.0306 0.4397
O 0.0128 0.6192 0.7862
O 0.2217 0.2500 0.6412
O 0.4883 0.6273 0.2398
O 0.8501 0.4606 0.9256
O 0.9883 0.6273 0.2602
O 0.3614 0.9694 0.9397
O 0.3501 0.4606 0.5744
O 0.6386 0.4694 0.0603
O 0.7783 0.7500 0.3588
O 0.0128 0.8808 0.7862
O 0.5117 0.3727 0.7602
O 0.4883 0.8727 0.2398
O 0.0117 0.3727 0.7398
O 0.4872 0.1192 0.2862
O 0.1499 0.5394 0.0744
O 0.5128 0.8808 0.7138
O 0.8614 0.9694 0.5603
O 0.4872 0.3808 0.2862
O 0.9872 0.1192 0.2138
O 0.5117 0.1273 0.7602
O 0.0117 0.1273 0.7398
O 0.9883 0.8727 0.2602
O 0.8614 0.5306 0.5603
O 0.3501 0.0394 0.5744
O 0.1499 0.9606 0.0744
O 0.7217 0.2500 0.8588
O 0.3614 0.5306 0.9397
O 0.8501 0.0394 0.9256
O 0.6499 0.9606 0.4256
Te 0.7417 0.7500 0.8796
Te 0.2583 0.2500 0.1204
Te 0.2417 0.7500 0.6204
Te 0.7583 0.2500 0.3796
Si 0.9374 0.4986 0.7513
Si 0.4374 0.4986 0.7487
Si 0.0626 0.9986 0.2487
Si 0.0626 0.5014 0.2487
Si 0.5626 0.9986 0.2513
Si 0.4374 0.0014 0.7487
Si 0.5626 0.5014 0.2513
Si 0.9374 0.0014 0.7513



! Rb2AgAuI6 PBE-GGA optimized geometry; values from VASP
! Total energy   -24.0 eV/cell
! Energy above the lowest structure with this stoichiometry   0.0 meV/atom
&SYSTEM
  ibrav = 0, nat = 10, ntyp = 4
/
ATOMIC_SPECIES
I 126.90 I.upf
Au 196.97 Au.upf
Rb 85.47 Rb.upf
Ag 107.87 Ag.upf
CELL_PARAMETERS angstrom
-4.1009 4.1009 6.2480
4.1009 -4.1009 6.2480
4.1009 4.1009 -6.2480
ATOMIC_POSITIONS crystal
I 0.8028 0.7349 0.5377
I 0.1972 0.2651 0.4623
I 0.2823 0.2823 0.0000
I 0.7177 0.7177 0.0000
I 0.7349 0.1972 0.9321
I 0.2651 0.8028 0.0679
Au 0.0000 0.0000 0.0000
Rb 0.2500 0.7500 0.5000
Rb 0.7500 0.2500 0.5000
Ag 0.5000 0.5000 0.0000



! NbInB PBE-GGA optimized geometry; values from VASP
! Total energy   -14.3 eV/cell
! Energy above the lowest structure with this stoichiometry   415.5 meV/atom
&SYSTEM
  ibrav = 0, nat = 3, ntyp = 3
/
ATOMIC_SPECIES
B 10.81 B.upf
Nb 92.91 Nb.upf
In 114.82 In.upf
CELL_PARAMETERS angstrom
0.0000 3.0746 3.0746
3.0746 0.0000 3.0746
3.0746 3.0746 0.0000
ATOMIC_POSITIONS crystal
B 0.2500 0.2500 0.2500
Nb 0.7500 0.7500 0.7500
In 0.0000 0.0000 0.0000



! YScCdIn PBE-GGA optimized geometry; values from VASP
! Total energy   -16.5 eV/cell
! Energy above the lowest structure with this stoichiometry   387.0 meV/atom
&SYSTEM
  ibrav = 0, nat = 4, ntyp = 4
/
ATOMIC_SPECIES
Y 88.91 Y.upf
Sc 44.96 Sc.upf
In 114.82 In.upf
Cd 112.41 Cd.upf
CELL_PARAMETERS angstrom
0.0000 3.6747 3.6747
3.6747 0.0000 3.6747
3.6747 3.6747 0.0000
ATOMIC_POSITIONS crystal
Y 0.7500 0.7500 0.7500
Sc 0.0000 0.0000 0.0000
In 0.2500 0.2500 0.2500
Cd 0.5000 0.5000 0.5000



! PmPrAsO PBE-GGA optimized geometry; values from VASP
! Total energy   -53.4 eV/cell
! Energy above the lowest structure with this stoichiometry   21.8 meV/atom
&SYSTEM
  ibrav = 0, nat = 8, ntyp = 4
/
ATOMIC_SPECIES
O 16.00 O.upf
As 74.92 As.upf
Pm 145.00 Pm.upf
Pr 140.91 Pr.upf
CELL_PARAMETERS angstrom
4.2861 0.0000 0.0000
0.0000 8.0937 0.0000
0.0000 0.0000 5.9632
ATOMIC_POSITIONS crystal
O 0.5000 0.6752 0.8880
O 0.5000 0.3248 0.3880
As 0.0000 0.1522 0.9347
As 0.0000 0.8478 0.4347
Pm 0.0000 0.7951 0.9383
Pm 0.0000 0.2049 0.4383
Pr 0.5000 0.6173 0.4929
Pr 0.5000 0.3827 0.9929



! BaReAg PBE-GGA optimized geometry; values from VASP
! Total energy   -12.8 eV/cell
&SYSTEM
  ibrav = 0, nat = 3, ntyp = 3
/
ATOMIC_SPECIES
Ag 107.87 Ag.upf
Re 186.21 Re.upf
Ba 137.33 Ba.upf
CELL_PARAMETERS angstrom
-4.6216 0.4653 1.6095
-3.4667 1.8193 -2.9730
-3.5230 -2.9437 -1.7577
ATOMIC_POSITIONS crystal
Ag 0.2500 0.2500 0.2500
Re 0.0000 0.0000 0.0000
Ba 0.7500 0.7500 0.7500



! ErCo5P3 PBE-GGA optimized geometry; values from VASP
! Total energy   -255.8 eV/cell
&SYSTEM
  ibrav = 0, nat = 36, ntyp = 3
/
ATOMIC_SPECIES
Er 167.26 Er.upf
P 30.97 P.upf
Co 58.93 Co.upf
CELL_PARAMETERS angstrom
-3.8266 -0.5084 -11.0147
3.1920 -1.3543 -1.0464
-3.4796 -9.4729 1.6461
ATOMIC_POSITIONS crystal
Er 0.7028 0.2500 0.5827
Er 0.2972 0.7500 0.4173
Er 0.2028 0.2500 0.9173
Er 0.7972 0.7500 0.0827
P 0.3908 0.2500 0.6013
P 0.3875 0.7500 0.9181
P 0.8703 0.2500 0.2700
P 0.6297 0.7500 0.7700
P 0.6092 0.7500 0.3987
P 0.6125 0.2500 0.0819
P 0.8908 0.2500 0.8987
P 0.8875 0.7500 0.5819
P 0.3703 0.2500 0.2300
P 0.1297 0.7500 0.7300
P 0.1092 0.7500 0.1013
P 0.1125 0.2500 0.4181
Co 0.8014 0.7500 0.3827
Co 0.6986 0.2500 0.8827
Co 0.9314 0.2500 0.4677
Co 0.0124 0.7500 0.9073
Co 0.4314 0.2500 0.0323
Co 0.8234 0.7500 0.7788
Co 0.6766 0.2500 0.2788
Co 0.9915 0.2500 0.7168
Co 0.0085 0.7500 0.2832
Co 0.0686 0.7500 0.5323
Co 0.3014 0.7500 0.1173
Co 0.1766 0.2500 0.2212
Co 0.1986 0.2500 0.6173
Co 0.4915 0.2500 0.7832
Co 0.4876 0.2500 0.4073
Co 0.5686 0.7500 0.9677
Co 0.9876 0.2500 0.0927
Co 0.5124 0.7500 0.5927
Co 0.5085 0.7500 0.2168
Co 0.3234 0.7500 0.7212



! YMgCu PBE-GGA optimized geometry; values from VASP
! Total energy   -47.3 eV/cell
! Energy above the lowest structure with this stoichiometry   187.2 meV/atom
&SYSTEM
  ibrav = 0, nat = 12, ntyp = 3
/
ATOMIC_SPECIES
Cu 63.55 Cu.upf
Y 88.91 Y.upf
Mg 24.30 Mg.upf
CELL_PARAMETERS angstrom
5.9154 0.0000 0.0000
0.0000 3.8118 0.0000
0.0000 0.0000 11.6103
ATOMIC_POSITIONS crystal
Cu 0.0064 0.2500 0.2502
Cu 0.9936 0.7500 0.7498
Cu 0.4936 0.7500 0.7502
Cu 0.5064 0.2500 0.2498
Y 0.7460 0.2500 0.9353
Y 0.2460 0.2500 0.5647
Y 0.7540 0.7500 0.4353
Y 0.2540 0.7500 0.0647
Mg 0.7552 0.7500 0.1616
Mg 0.7448 0.2500 0.6616
Mg 0.2552 0.7500 0.3384
Mg 0.2448 0.2500 0.8384



! ZnCoSi PBE-GGA optimized geometry; values from VASP
! Total energy   -14.1 eV/cell
! Energy above the lowest structure with this stoichiometry   0.0 meV/atom
&SYSTEM
  ibrav = 0, nat = 3, ntyp = 3
/
ATOMIC_SPECIES
Co 58.93 Co.upf
Zn 65.41 Zn.upf
Si 28.09 Si.upf
CELL_PARAMETERS angstrom
0.0000 2.7499 2.7499
2.7499 0.0000 2.7499
2.7499 2.7499 0.0000
ATOMIC_POSITIONS crystal
Co 0.0000 0.0000 0.0000
Zn 0.7500 0.7500 0.7500
Si 0.2500 0.2500 0.2500



! Zr2SiGe PBE-GGA optimized geometry; values from VASP
! Total energy   -61.1 eV/cell
&SYSTEM
  ibrav = 0, nat = 8, ntyp = 3
/
ATOMIC_SPECIES
Ge 72.64 Ge.upf
Si 28.09 Si.upf
Zr 91.22 Zr.upf
CELL_PARAMETERS angstrom
-0.1659 -1.0138 3.7599
4.0806 -3.4158 -0.7410
4.5379 5.0805 1.5702
ATOMIC_POSITIONS crystal
Ge 0.5000 0.8960 0.9567
Ge 0.5000 0.1040 0.4567
Si 0.0000 0.6031 0.0442
Si 0.0000 0.3969 0.5442
Zr 0.0000 0.8757 0.6764
Zr 0.5000 0.3826 0.8226
Zr 0.0000 0.1243 0.1764
Zr 0.5000 0.6174 0.3226



! RbMgIrW PBE-GGA optimized geometry; values from VASP
! Total energy   -19.6 eV/cell
! Energy above the lowest structure with this stoichiometry   0.0 meV/atom
&SYSTEM
  ibrav = 0, nat = 4, ntyp = 4
/
ATOMIC_SPECIES
Mg 24.30 Mg.upf
Rb 85.47 Rb.upf
Ir 192.22 Ir.upf
W 183.84 W.upf
CELL_PARAMETERS angstrom
-3.9660 -2.0214 1.6437
-3.5197 -1.0941 -2.9885
-0.9376 -4.5429 -0.9997
ATOMIC_POSITIONS crystal
Mg 0.7500 0.7500 0.7500
Rb 0.5000 0.5000 0.5000
Ir 0.0000 0.0000 0.0000
W 0.2500 0.2500 0.2500



! PuReBi PBE-GGA optimized geometry; values from VASP
! Total energy   -29.3 eV/cell
! Energy above the lowest structure with this stoichiometry   0.0 meV/atom
&SYSTEM
  ibrav = 0, nat = 3, ntyp = 3
/
ATOMIC_SPECIES
Bi 208.98 Bi.upf
Pu 244.00 Pu.upf
Re 186.21 Re.upf
CELL_PARAMETERS angstrom
0.0000 3.3450 3.3450
3.3450 0.0000 3.3450
3.3450 3.3450 0.0000
ATOMIC_POSITIONS crystal
Bi 0.0000 0.0000 0.0000
Pu 0.5000 0.5000 0.5000
Re 0.2500 0.2500 0.2500



! SrMoPd PBE-GGA optimized geometry; values from VASP
! Total energy   -13.4 eV/cell
! Energy above the lowest structure with this stoichiometry   620.7 meV/atom
&SYSTEM
  ibrav = 0, nat = 3, ntyp = 3
/
ATOMIC_SPECIES
Mo 95.94 Mo.upf
Sr 87.62 Sr.upf
Pd 106.42 Pd.upf
CELL_PARAMETERS angstrom
2.3761 -4.2655 0.3268
-0.3518 -2.6911 4.0720
-2.5022 -4.2051 -0.0548
ATOMIC_POSITIONS crystal
Mo 0.2500 0.2500 0.2500
Sr 0.0000 0.0000 0.0000
Pd 0.7500 0.7500 0.7500



! MgNi2Sb PBE-GGA optimized geometry; values from VASP
! Total energy   -17.8 eV/cell
&SYSTEM
  ibrav = 0, nat = 4, ntyp = 3
/
ATOMIC_SPECIES
Mg 24.30 Mg.upf
Ni 58.69 Ni.upf
Sb 121.76 Sb.upf
CELL_PARAMETERS angstrom
3.0716 -3.0716 0.0000
-3.0716 0.0000 -3.0716
3.0716 3.0716 0.0000
ATOMIC_POSITIONS crystal
Mg 0.0000 0.0000 0.0000
Ni 0.7500 0.5000 0.2500
Ni 0.2500 0.5000 0.7500
Sb 0.5000 0.0000 0.5000



! AgSnNO PBE-GGA optimized geometry; values from VASP
! Total energy   -39.3 eV/cell
! Energy above the lowest structure with this stoichiometry   266.2 meV/atom
&SYSTEM
  ibrav = 0, nat = 8, ntyp = 4
/
ATOMIC_SPECIES
O 16.00 O.upf
N 14.01 N.upf
Sn 118.71 Sn.upf
Ag 107.87 Ag.upf
CELL_PARAMETERS angstrom
3.3820 -3.3820 0.0000
3.3820 3.3820 0.0000
0.0000 0.0000 4.5511
ATOMIC_POSITIONS crystal
O 0.7500 0.2500 0.0000
O 0.2500 0.7500 0.0000
N 0.7500 0.7500 0.4997
N 0.2500 0.2500 0.5003
Sn 0.2500 0.7500 0.5000
Sn 0.7500 0.2500 0.5000
Ag 0.2500 0.2500 0.0003
Ag 0.7500 0.7500 0.9997



! NaPuPa PBE-GGA optimized geometry; values from VASP
! Total energy   -21.5 eV/cell
! Energy above the lowest structure with this stoichiometry   0.0 meV/atom
&SYSTEM
  ibrav = 0, nat = 3, ntyp = 3
/
ATOMIC_SPECIES
Na 22.99 Na.upf
Pu 244.00 Pu.upf
Pa 231.04 Pa.upf
CELL_PARAMETERS angstrom
4.4092 0.5002 1.9462
0.5430 2.3654 4.1940
1.1632 -2.4373 4.0231
ATOMIC_POSITIONS crystal
Na 0.2500 0.2500 0.2500
Pu 0.0000 0.0000 0.0000
Pa 0.7500 0.7500 0.7500